Version a
First-principles (GGA-PBE) data for a geometry-optimized ScNiBr3 structure, as listed in the Alexandria database.

Unit cell a=4.9106 b=4.9106 c=4.9106 alpha=90.00 beta=90.00 gamma=90.00
Positions (direct):
Sc: 0.5000 0.5000 0.5000
Ni: 0.0000 0.0000 0.0000
Br: 0.0000 0.5000 0.0000
Br: 0.0000 0.0000 0.5000
Br: 0.5000 0.0000 0.0000

Calculated values
space-group type = Pm-3m (221)
N(E_F) = 2.1347 states/eV per atom


Version b
First-principles (GGA-PBE) data for a geometry-optimized ScNiBr3 structure, as listed in the Alexandria database.

Unit cell a=5.2985 b=5.2985 c=5.2985 alpha=90.00 beta=90.00 gamma=90.00
Each line ends with the local moment (μB).
Positions (direct):
Sc: 0.0000 0.0000 0.0000  0.01
Ni: 0.5000 0.5000 0.5000  1.12
Br: 0.0000 0.5000 0.0000  0.02
Br: 0.0000 0.0000 0.5000  0.02
Br: 0.5000 0.0000 0.0000  0.01

Calculated values
space-group type = Pm-3m (221)
N(E_F) = 5.2221 states/eV per atom


In terms of stability, version b leads; the second structure lies 10.3 kJ/mol of atoms higher.


Version a
First-principles (GGA-PBE) data for a geometry-optimized ScNiSeBr2 structure, as listed in the Alexandria database.

Unit cell a=4.7594 b=4.7594 c=4.9901 alpha=90.00 beta=90.00 gamma=90.00
Each line ends with the local moment (μB).
Positions (direct):
Sc: 0.5000 0.5000 0.5000  0.51
Ni: 0.0000 0.0000 0.0000  -0.06
Se: 0.0000 0.0000 0.5000  -0.04
Br: 0.0000 0.5000 0.0000  -0.02
Br: 0.5000 0.0000 0.0000  -0.02

Calculated values
space-group type = P4/mmm (123)
N(E_F) = 0.9520 states/eV per atom


Version b
First-principles (GGA-PBE) data for a geometry-optimized ScNiSeBr2 structure, as listed in the Alexandria database.

Unit cell a=5.2036 b=5.2036 c=5.2865 alpha=90.00 beta=90.00 gamma=90.00
Each line ends with the local moment (μB).
Positions (direct):
Sc: 0.0000 0.0000 0.0000  0.00
Ni: 0.5000 0.5000 0.5000  0.97
Se: 0.0000 0.0000 0.5000  0.02
Br: 0.0000 0.5000 0.0000  0.01
Br: 0.5000 0.0000 0.0000  0.01

Calculated values
space-group type = P4/mmm (123)
N(E_F) = 1.1965 states/eV per atom


In terms of stability, version a leads; the second structure lies 1.0 kJ/mol of atoms higher.


Version a
First-principles (GGA-PBE) data for a geometry-optimized NiSnSeBr2 structure, as listed in the Alexandria database.

Unit cell a=5.4950 b=5.4950 c=5.4264 alpha=90.00 beta=90.00 gamma=90.00
Each line ends with the local moment (μB).
Positions (direct):
Ni: 0.5000 0.5000 0.5000  1.03
Se: 0.0000 0.0000 0.5000  0.05
Sn: 0.0000 0.0000 0.0000  0.00
Br: 0.0000 0.5000 0.0000  0.00
Br: 0.5000 0.0000 0.0000  0.00

Calculated values
space-group type = P4/mmm (123)
N(E_F) = 1.2565 states/eV per atom


Version b
First-principles (GGA-PBE) data for a geometry-optimized NiSnSeBr2 structure, as listed in the Alexandria database.

Unit cell a=4.8453 b=4.8453 c=5.0392 alpha=90.00 beta=90.00 gamma=90.00
Positions (direct):
Ni: 0.0000 0.0000 0.0000
Se: 0.0000 0.0000 0.5000
Sn: 0.5000 0.5000 0.5000
Br: 0.0000 0.5000 0.0000
Br: 0.5000 0.0000 0.0000

Calculated values
space-group type = P4/mmm (123)
N(E_F) = 0.6356 states/eV per atom


In terms of stability, version b leads; the second structure lies 59.9 kJ/mol of atoms higher.


Version a
First-principles (GGA-PBE) data for a geometry-optimized SrNiSeBr2 structure, as listed in the Alexandria database.

Unit cell a=4.9179 b=4.9179 c=5.0803 alpha=90.00 beta=90.00 gamma=90.00
Positions (direct):
Sr: 0.5000 0.5000 0.5000
Se: 0.0000 0.0000 0.5000
Br: 0.0000 0.5000 0.0000
Br: 0.5000 0.0000 0.0000
Ni: 0.0000 0.0000 0.0000

Calculated values
space-group type = P4/mmm (123)
N(E_F) = 0.6051 states/eV per atom


Version b
First-principles (GGA-PBE) data for a geometry-optimized SrNiSeBr2 structure, as listed in the Alexandria database.

Unit cell a=5.7978 b=5.7978 c=6.0881 alpha=90.00 beta=90.00 gamma=90.00
Each line ends with the local moment (μB).
Positions (direct):
Sr: 0.0000 0.0000 0.0000  0.00
Se: 0.0000 0.0000 0.5000  0.51
Br: 0.0000 0.5000 0.0000  0.05
Br: 0.5000 0.0000 0.0000  0.05
Ni: 0.5000 0.5000 0.5000  1.01

Calculated values
space-group type = P4/mmm (123)
N(E_F) = 1.3321 states/eV per atom


In terms of stability, version a leads; the second structure lies 87.5 kJ/mol of atoms higher.


Version a
First-principles (GGA-PBE) data for a geometry-optimized NiTeSe2Br structure, as listed in the Alexandria database.

Unit cell a=5.4082 b=5.4082 c=5.4387 alpha=90.00 beta=90.00 gamma=90.00
Each line ends with the local moment (μB).
Positions (direct):
Ni: 0.5000 0.5000 0.5000  1.05
Te: 0.0000 0.0000 0.0000  0.00
Se: 0.0000 0.5000 0.0000  0.07
Se: 0.5000 0.0000 0.0000  0.07
Br: 0.0000 0.0000 0.5000  0.00

Calculated values
space-group type = P4/mmm (123)
N(E_F) = 2.2182 states/eV per atom


Version b
First-principles (GGA-PBE) data for a geometry-optimized NiTeSe2Br structure, as listed in the Alexandria database.

Unit cell a=4.8118 b=4.8118 c=4.7570 alpha=90.00 beta=90.00 gamma=90.00
Positions (direct):
Ni: 0.0000 0.0000 0.0000
Te: 0.5000 0.5000 0.5000
Se: 0.0000 0.5000 0.0000
Se: 0.5000 0.0000 0.0000
Br: 0.0000 0.0000 0.5000

Calculated values
space-group type = P4/mmm (123)
N(E_F) = 0.7156 states/eV per atom


In terms of stability, version b leads; the second structure lies 63.9 kJ/mol of atoms higher.


Version a
First-principles (GGA-PBE) data for a geometry-optimized TlNiSe2Br structure, as listed in the Alexandria database.

Unit cell a=4.7428 b=4.7428 c=5.5518 alpha=90.00 beta=90.00 gamma=90.00
Each line ends with the local moment (μB).
Positions (direct):
Ni: 0.0000 0.0000 0.0000  0.53
Tl: 0.5000 0.5000 0.5000  0.01
Se: 0.0000 0.5000 0.0000  0.26
Se: 0.5000 0.0000 0.0000  0.26
Br: 0.0000 0.0000 0.5000  0.08

Calculated values
space-group type = P4/mmm (123)
N(E_F) = 1.1514 states/eV per atom


Version b
First-principles (GGA-PBE) data for a geometry-optimized TlNiSe2Br structure, as listed in the Alexandria database.

Unit cell a=5.3930 b=5.3930 c=5.5931 alpha=90.00 beta=90.00 gamma=90.00
Each line ends with the local moment (μB).
Positions (direct):
Ni: 0.5000 0.5000 0.5000  1.07
Tl: 0.0000 0.0000 0.0000  0.00
Se: 0.0000 0.5000 0.0000  0.20
Se: 0.5000 0.0000 0.0000  0.20
Br: 0.0000 0.0000 0.5000  0.04

Calculated values
space-group type = P4/mmm (123)
N(E_F) = 2.1349 states/eV per atom


In terms of stability, version a leads; the second structure lies 93.6 kJ/mol of atoms higher.


Version a
First-principles (GGA-PBE) data for a geometry-optimized TlNiSeBr2 structure, as listed in the Alexandria database.

Unit cell a=5.3130 b=5.3130 c=4.6256 alpha=90.00 beta=90.00 gamma=90.00
Each line ends with the local moment (μB).
Positions (direct):
Ni: 0.0000 0.0000 0.0000  0.66
Tl: 0.5000 0.5000 0.5000  0.01
Se: 0.0000 0.0000 0.5000  0.48
Br: 0.0000 0.5000 0.0000  0.08
Br: 0.5000 0.0000 0.0000  0.08

Calculated values
space-group type = P4/mmm (123)
N(E_F) = 0.5832 states/eV per atom


Version b
First-principles (GGA-PBE) data for a geometry-optimized TlNiSeBr2 structure, as listed in the Alexandria database.

Unit cell a=5.6996 b=5.6996 c=5.6423 alpha=90.00 beta=90.00 gamma=90.00
Each line ends with the local moment (μB).
Positions (direct):
Ni: 0.5000 0.5000 0.5000  1.05
Tl: 0.0000 0.0000 0.0000  0.00
Se: 0.0000 0.0000 0.5000  0.23
Br: 0.0000 0.5000 0.0000  0.03
Br: 0.5000 0.0000 0.0000  0.03

Calculated values
space-group type = P4/mmm (123)
N(E_F) = 1.2090 states/eV per atom


In terms of stability, version a leads; the second structure lies 86.8 kJ/mol of atoms higher.


Version a
First-principles (GGA-PBE) data for a geometry-optimized YNiSe2Br structure, as listed in the Alexandria database.

Unit cell a=5.4963 b=5.4963 c=5.4490 alpha=90.00 beta=90.00 gamma=90.00
Each line ends with the local moment (μB).
Positions (direct):
Y: 0.0000 0.0000 0.0000  0.00
Ni: 0.5000 0.5000 0.5000  1.05
Se: 0.0000 0.5000 0.0000  0.12
Se: 0.5000 0.0000 0.0000  0.12
Br: 0.0000 0.0000 0.5000  0.02

Calculated values
space-group type = P4/mmm (123)
N(E_F) = 2.0260 states/eV per atom


Version b
First-principles (GGA-PBE) data for a geometry-optimized YNiSe2Br structure, as listed in the Alexandria database.

Unit cell a=4.8484 b=4.8484 c=4.6881 alpha=90.00 beta=90.00 gamma=90.00
Positions (direct):
Y: 0.5000 0.5000 0.5000
Ni: 0.0000 0.0000 0.0000
Se: 0.0000 0.5000 0.0000
Se: 0.5000 0.0000 0.0000
Br: 0.0000 0.0000 0.5000

Calculated values
space-group type = P4/mmm (123)
N(E_F) = 0.4141 states/eV per atom


In terms of stability, version b leads; the second structure lies 53.8 kJ/mol of atoms higher.